DFT (GGA-PBE) results for a geometry-optimized Mg2CoIr structure.

Cell: 5.341 5.341 5.341 Å, 147.67 130.91 60.01°
Fractional positions:
Mg 0.000 0.000 0.000
Mg 0.716 0.216 0.500
Co 0.470 0.470 0.000
Ir 0.254 0.754 0.500

Formation enthalpy at 0 K ... -0.096 eV per atom
Spin magnetization ... 1.41 Bohr magnetons per cell
Excess energy over the best structure of this formula in the dataset ... 0 meV per atom
DOS at the Fermi energy ... 4.04 states/eV per cell

---

DFT (GGA-PBE) results for a geometry-optimized NaCr2SbBr structure.

Cell: 4.982 4.982 6.038 Å, 90.00 90.00 90.00°
Fractional positions:
Na 0.000 0.000 0.000
Cr 0.000 0.500 0.500
Cr 0.500 0.000 0.500
Sb 0.500 0.500 0.000
Br 0.500 0.500 0.500

E_form (uncorrected) ... 0.87 eV per atom
Spin magnetization ... 8.68 Bohr magnetons per cell
DOS at the Fermi energy ... 5.04 states/eV per cell

---

DFT (GGA-PBE) results for a geometry-optimized HgSeCl2 structure.

Cell: 4.206 4.206 10.340 Å, 90.00 90.00 130.82°
Fractional positions:
Hg 0.000 0.000 0.000
Se 0.000 0.000 0.500
Cl 0.500 0.500 0.331
Cl 0.500 0.500 0.669

E_form (uncorrected) ... -0.07 eV per atom
Spin magnetization ... 0.00 Bohr magnetons per cell
Excess energy over the best structure of this formula in the dataset ... 214 meV per atom
DOS at the Fermi energy ... 0.02 states/eV per cell

---

DFT (GGA-PBE) results for a geometry-optimized TbCeGd structure.

Cell: 3.529 3.529 8.630 Å, 90.00 90.00 120.00°
Fractional positions:
Tb 0.000 0.000 0.000
Ce 0.333 0.667 0.673
Gd 0.667 0.333 0.347

Formation enthalpy at 0 K ... 0.064 eV per atom
Spin magnetization ... 6.87 Bohr magnetons per cell
Excess energy over the best structure of this formula in the dataset ... 0 meV per atom
DOS at the Fermi energy ... 6.49 states/eV per cell

---

DFT (GGA-PBE) results for a geometry-optimized Ni2Sn2Hg structure.

Cell: 6.203 6.203 6.203 Å, 139.20 139.20 59.07°
Fractional positions:
Ni 0.112 0.112 0.000
Ni 0.888 0.888 0.000
Sn 0.250 0.750 0.500
Sn 0.750 0.250 0.500
Hg 0.500 0.500 0.000

Formation enthalpy at 0 K ... 0.197 eV per atom
Spin magnetization ... 0.00 Bohr magnetons per cell
Excess energy over the best structure of this formula in the dataset ... 186 meV per atom
DOS at the Fermi energy ... 3.52 states/eV per cell

---

DFT (GGA-PBE) results for a geometry-optimized Ac2Pr8Tm structure.

Cell: 8.228 8.228 8.200 Å, 103.56 103.56 50.73°
Fractional positions:
Ac 0.173 0.173 0.255
Ac 0.827 0.827 0.745
Pr 0.195 0.666 0.145
Pr 0.257 0.257 0.807
Pr 0.334 0.805 0.855
Pr 0.394 0.394 0.529
Pr 0.606 0.606 0.471
Pr 0.666 0.195 0.145
Pr 0.743 0.743 0.193
Pr 0.805 0.334 0.855
Tm 0.000 0.000 0.500

Formation enthalpy at 0 K ... 0.153 eV per atom
Spin magnetization ... 0.00 Bohr magnetons per cell
DOS at the Fermi energy ... 15.29 states/eV per cell

---

DFT (GGA-PBE) results for a geometry-optimized TcBBr2 structure.

Cell: 7.972 7.972 7.972 Å, 23.59 23.59 23.59°
Fractional positions:
Tc 0.000 0.000 0.000
B 0.500 0.500 0.500
Br 0.103 0.103 0.103
Br 0.897 0.897 0.897

E_form (uncorrected) ... 1.38 eV per atom
Spin magnetization ... 0.54 Bohr magnetons per cell
Excess energy over the best structure of this formula in the dataset ... 29 meV per atom
DOS at the Fermi energy ... 2.87 states/eV per cell

---

DFT (GGA-PBE) results for a geometry-optimized LiYAsAu structure.

Cell: 4.880 4.880 4.880 Å, 60.00 60.00 60.00°
Fractional positions:
Li 0.000 0.000 0.000
Y 0.500 0.500 0.500
As 0.250 0.250 0.250
Au 0.750 0.750 0.750

Formation enthalpy at 0 K ... -0.839 eV per atom
Spin magnetization ... 0.00 Bohr magnetons per cell
DOS at the Fermi energy ... 0.83 states/eV per cell

---

Question: The highest DOS at the Fermi energy belongs to which entry?
Answer: Ac2Pr8Tm

---

Question: The highest DOS at the Fermi energy belongs to which entry?
Answer: Ac2Pr8Tm

---

Question: Number 5 is which compound?
Answer: Ni2Sn2Hg